AlTl2As: optimized geometry, PBE-GGA.

Values from the calculation:
Fermi-level density of states: 3.41 states/eV per cell
Formation enthalpy at 0 K: 0.106 eV/atom
Energy above the lowest structure with this stoichiometry: 160 meV per atom
E_tot: -25.40 eV for the cell shown

The structure in POSCAR format:
```
AlTl2As
1.0
3.981 0.000 0.000
0.000 5.534 0.000
0.000 0.000 9.456
Al Tl As
2 4 2
Cartesian
0.000 0.000 0.000
1.991 2.767 0.000
0.000 0.000 4.114
0.000 2.767 7.132
1.991 0.000 7.132
1.991 2.767 4.114
0.000 2.767 1.515
1.991 0.000 1.515
```